1.
DFT (PBE) results for SbCl3F after structural relaxation.

## Properties
Calculated density   3.907 g cm⁻³
Calculated volume   105 Å³ per cell
Formation energy from raw total energies   0.256 eV per atom
VASP energy   -2.0505 eV/atom
Density of states at the Fermi level   5.854 states/eV per cell
Energy above the most stable polymorph in this dataset   1.221 eV/atom

Lattice parameters (Å, degrees): 4.718 4.718 4.718 90.00 90.00 90.00
Element x y z (fractional)
Sb: 0.000 0.000 0.000
Cl: 0.000 0.500 0.500
Cl: 0.500 0.000 0.500
Cl: 0.500 0.500 0.000
F: 0.500 0.500 0.500

2.
DFT (PBE) results for PuMnSnRh after structural relaxation.

## Properties
Calculated density   11.720 g cm⁻³
Calculated volume   74 Å³ per cell
VASP energy   -9.0286 eV/atom
Density of states at the Fermi level   8.011 states/eV per cell

Lattice parameters (Å, degrees): 4.707 4.707 4.707 60.00 60.00 60.00
Element x y z (fractional)
Pu: 0.000 0.000 0.000
Mn: 0.250 0.250 0.250
Sn: 0.500 0.500 0.500
Rh: 0.750 0.750 0.750

3.
DFT (PBE) results for CdSn2Br after structural relaxation.

## Properties
Calculated density   6.678 g cm⁻³
Calculated volume   107 Å³ per cell
Formation energy from raw total energies   0.068 eV per atom
VASP energy   -2.5800 eV/atom
Density of states at the Fermi level   3.787 states/eV per cell
Energy above the most stable polymorph in this dataset   0.000 eV/atom

Lattice parameters (Å, degrees): 5.327 5.327 5.327 60.00 60.00 60.00
Element x y z (fractional)
Cd: 0.000 0.000 0.000
Sn: 0.250 0.250 0.250
Sn: 0.750 0.750 0.750
Br: 0.500 0.500 0.500

4.
DFT (PBE) results for PtWAu3 after structural relaxation.

## Properties
Calculated density   12.827 g cm⁻³
Calculated volume   126 Å³ per cell
VASP energy   -4.0908 eV/atom
Density of states at the Fermi level   3.549 states/eV per cell
Energy above the most stable polymorph in this dataset   0.022 eV/atom

Lattice parameters (Å, degrees): 5.007 5.007 5.007 90.00 90.00 90.00
Element x y z (fractional)
Pt: 0.000 0.000 0.000
W: 0.500 0.500 0.500
Au: 0.000 0.000 0.500
Au: 0.000 0.500 0.000
Au: 0.500 0.000 0.000

5.
DFT (PBE) results for Mg2TaTc3N6 after structural relaxation.

## Properties
Calculated density   8.411 g cm⁻³
Calculated volume   120 Å³ per cell
Formation energy from raw total energies   -0.396 eV per atom
VASP energy   -8.4037 eV/atom
Density of states at the Fermi level   3.830 states/eV per cell

Lattice parameters (Å, degrees): 5.306 5.306 5.280 99.51 99.51 121.06
Element x y z (fractional)
Mg: 0.172 0.828 0.000
Mg: 0.828 0.172 0.000
Ta: 0.500 0.500 0.000
Tc: 0.000 0.000 0.500
Tc: 0.357 0.643 0.500
Tc: 0.643 0.357 0.500
N: 0.075 0.418 0.744
N: 0.231 0.231 0.230
N: 0.418 0.075 0.744
N: 0.582 0.925 0.256
N: 0.769 0.769 0.770
N: 0.925 0.582 0.256

6.
DFT (PBE) results for CaNd5Sm8 after structural relaxation.

## Properties
Calculated density   6.516 g cm⁻³
Calculated volume   501 Å³ per cell
VASP energy   -4.3193 eV/atom
Density of states at the Fermi level   19.408 states/eV per cell

Lattice parameters (Å, degrees): 8.669 8.669 8.669 110.92 110.92 106.62
Element x y z (fractional)
Ca: 0.000 0.000 0.000
Nd: 0.035 0.432 0.818
Nd: 0.250 0.750 0.500
Nd: 0.568 0.386 0.603
Nd: 0.614 0.216 0.182
Nd: 0.784 0.965 0.397
Sm: 0.091 0.331 0.413
Sm: 0.278 0.175 0.751
Sm: 0.322 0.909 0.240
Sm: 0.424 0.527 0.249
Sm: 0.473 0.722 0.897
Sm: 0.669 0.082 0.760
Sm: 0.825 0.576 0.103
Sm: 0.918 0.678 0.587

7.
DFT (PBE) results for TcAsBr2 after structural relaxation.

## Properties
Calculated density   6.240 g cm⁻³
Calculated volume   89 Å³ per cell
Formation energy from raw total energies   0.495 eV per atom
VASP energy   -4.0951 eV/atom
Density of states at the Fermi level   4.393 states/eV per cell
Energy above the most stable polymorph in this dataset   0.527 eV/atom

Lattice parameters (Å, degrees): 9.757 9.757 9.757 19.28 19.28 19.28
Element x y z (fractional)
Tc: 0.000 0.000 0.000
As: 0.500 0.500 0.500
Br: 0.272 0.272 0.272
Br: 0.728 0.728 0.728

8.
DFT (PBE) results for HoGeSe2 after structural relaxation.

## Properties
Calculated density   6.763 g cm⁻³
Calculated volume   97 Å³ per cell
Formation energy from raw total energies   -0.866 eV per atom
VASP energy   -4.9070 eV/atom
Density of states at the Fermi level   2.648 states/eV per cell

Lattice parameters (Å, degrees): 6.783 6.783 6.783 36.14 36.14 36.14
Element x y z (fractional)
Ho: 0.000 0.000 0.000
Ge: 0.500 0.500 0.500
Se: 0.248 0.248 0.248
Se: 0.752 0.752 0.752

9.
DFT (PBE) results for Er2Ga3Pd after structural relaxation.

## Properties
Calculated density   9.004 g cm⁻³
Calculated volume   240 Å³ per cell
VASP energy   -4.6633 eV/atom
Density of states at the Fermi level   4.762 states/eV per cell

Lattice parameters (Å, degrees): 8.845 8.445 5.660 74.77 67.10 38.13
Element x y z (fractional)
Er: 0.243 0.757 0.757
Er: 0.250 0.250 0.250
Er: 0.750 0.750 0.750
Er: 0.757 0.243 0.243
Ga: 0.166 0.668 0.332
Ga: 0.332 0.834 0.166
Ga: 0.335 0.335 0.665
Ga: 0.665 0.665 0.335
Ga: 0.668 0.166 0.834
Ga: 0.834 0.332 0.668
Pd: 0.169 0.169 0.831
Pd: 0.831 0.831 0.169

10.
DFT (PBE) results for Tm3Mg2Ga after structural relaxation.

## Properties
Calculated density   6.976 g cm⁻³
Calculated volume   149 Å³ per cell
VASP energy   -3.5047 eV/atom
Density of states at the Fermi level   6.241 states/eV per cell

Lattice parameters (Å, degrees): 3.632 3.632 11.279 90.00 90.00 90.00
Element x y z (fractional)
Tm: 0.000 0.000 0.000
Tm: 0.000 0.000 0.349
Tm: 0.000 0.000 0.651
Mg: 0.500 0.500 0.172
Mg: 0.500 0.500 0.828
Ga: 0.500 0.500 0.500

11.
DFT (PBE) results for LaRe3Bi after structural relaxation.

## Properties
Calculated density   11.810 g cm⁻³
Calculated volume   127 Å³ per cell
VASP energy   -6.9910 eV/atom
Density of states at the Fermi level   17.596 states/eV per cell
Energy above the most stable polymorph in this dataset   0.000 eV/atom

Lattice parameters (Å, degrees): 5.033 5.033 5.033 90.00 90.00 90.00
Element x y z (fractional)
La: 0.000 0.000 0.000
Re: 0.000 0.500 0.500
Re: 0.500 0.000 0.500
Re: 0.500 0.500 0.000
Bi: 0.500 0.500 0.500

12.
DFT (PBE) results for Ti3NbRu4 after structural relaxation.

## Properties
Calculated density   8.860 g cm⁻³
Calculated volume   120 Å³ per cell
VASP energy   -9.4780 eV/atom
Density of states at the Fermi level   2.855 states/eV per cell

Lattice parameters (Å, degrees): 3.098 4.404 8.800 90.00 90.00 90.00
Element x y z (fractional)
Ti: 0.000 0.000 0.000
Ti: 0.000 0.500 0.246
Ti: 0.000 0.500 0.754
Nb: 0.000 0.000 0.500
Ru: 0.500 0.000 0.245
Ru: 0.500 0.000 0.755
Ru: 0.500 0.500 0.000
Ru: 0.500 0.500 0.500

13.
DFT (PBE) results for LiNbTlZn2 after structural relaxation.

## Properties
Calculated density   5.309 g cm⁻³
Calculated volume   136 Å³ per cell
VASP energy   -2.2360 eV/atom
Density of states at the Fermi level   2.404 states/eV per cell

Lattice parameters (Å, degrees): 4.994 4.994 5.455 90.00 90.00 90.00
Element x y z (fractional)
Li: 0.000 0.000 0.000
Nb: 0.500 0.500 0.000
Tl: 0.500 0.500 0.500
Zn: 0.000 0.500 0.500
Zn: 0.500 0.000 0.500

14.
DFT (PBE) results for AlOs after structural relaxation.

## Properties
Calculated density   11.743 g cm⁻³
Calculated volume   61 Å³ per cell
VASP energy   -7.2427 eV/atom
Density of states at the Fermi level   3.932 states/eV per cell

Lattice parameters (Å, degrees): 2.808 2.808 8.999 90.00 90.00 120.00
Element x y z (fractional)
Al: 0.333 0.667 0.000
Al: 0.667 0.333 0.500
Os: 0.333 0.667 0.279
Os: 0.667 0.333 0.779

15.
DFT (PBE) results for Al2CrHg after structural relaxation.

## Properties
Calculated density   7.448 g cm⁻³
Calculated volume   68 Å³ per cell
VASP energy   -4.1555 eV/atom
Density of states at the Fermi level   2.728 states/eV per cell

Lattice parameters (Å, degrees): 9.236 9.236 9.236 18.37 18.37 18.37
Element x y z (fractional)
Al: 0.239 0.239 0.239
Al: 0.761 0.761 0.761
Cr: 0.500 0.500 0.500
Hg: 0.000 0.000 0.000

16.
DFT (PBE) results for NiBPb3 after structural relaxation.

## Properties
Calculated density   9.349 g cm⁻³
Calculated volume   123 Å³ per cell
VASP energy   -3.7226 eV/atom
Density of states at the Fermi level   3.677 states/eV per cell
Energy above the most stable polymorph in this dataset   0.000 eV/atom

Lattice parameters (Å, degrees): 4.970 4.970 4.970 90.00 90.00 90.00
Element x y z (fractional)
Ni: 0.000 0.000 0.000
B: 0.500 0.500 0.500
Pb: 0.000 0.500 0.500
Pb: 0.500 0.000 0.500
Pb: 0.500 0.500 0.000

17.
DFT (PBE) results for Ac5Cd2Ga2 after structural relaxation.

## Properties
Calculated density   7.975 g cm⁻³
Calculated volume   624 Å³ per cell
VASP energy   -3.4755 eV/atom
Density of states at the Fermi level   17.104 states/eV per cell

Lattice parameters (Å, degrees): 10.012 10.012 8.126 90.00 90.00 50.04
Element x y z (fractional)
Ac: 0.000 0.000 0.000
Ac: 0.054 0.679 0.678
Ac: 0.179 0.554 0.178
Ac: 0.321 0.946 0.678
Ac: 0.446 0.821 0.178
Ac: 0.500 0.500 0.500
Ac: 0.554 0.179 0.822
Ac: 0.679 0.054 0.322
Ac: 0.821 0.446 0.822
Ac: 0.946 0.321 0.322
Cd: 0.220 0.220 0.000
Cd: 0.280 0.280 0.500
Cd: 0.720 0.720 0.500
Cd: 0.780 0.780 0.000
Ga: 0.114 0.886 0.391
Ga: 0.386 0.614 0.891
Ga: 0.614 0.386 0.109
Ga: 0.886 0.114 0.609

18.
DFT (PBE) results for CrMoPCl2 after structural relaxation.

## Properties
Calculated density   3.664 g cm⁻³
Calculated volume   113 Å³ per cell
Formation energy from raw total energies   0.364 eV per atom
VASP energy   -5.5479 eV/atom
Density of states at the Fermi level   2.950 states/eV per cell
Energy above the most stable polymorph in this dataset   0.000 eV/atom

Lattice parameters (Å, degrees): 4.883 4.883 4.748 90.00 90.00 90.00
Element x y z (fractional)
Cr: 0.000 0.000 0.000
Mo: 0.500 0.500 0.500
P: 0.500 0.500 0.000
Cl: 0.000 0.500 0.500
Cl: 0.500 0.000 0.500

19.
DFT (PBE) results for KHS3 after structural relaxation.

## Properties
Calculated density   0.924 g cm⁻³
Calculated volume   245 Å³ per cell
VASP energy   -1.9271 eV/atom
Density of states at the Fermi level   4.463 states/eV per cell
Energy above the most stable polymorph in this dataset   1.885 eV/atom

Lattice parameters (Å, degrees): 6.256 6.256 6.256 90.00 90.00 90.00
Element x y z (fractional)
K: 0.000 0.000 0.000
H: 0.500 0.500 0.500
S: 0.000 0.000 0.500
S: 0.000 0.500 0.000
S: 0.500 0.000 0.000

20.
DFT (PBE) results for LiMgPb2 after structural relaxation.

## Properties
Calculated density   7.497 g cm⁻³
Calculated volume   99 Å³ per cell
VASP energy   -2.9109 eV/atom
Density of states at the Fermi level   0.831 states/eV per cell

Lattice parameters (Å, degrees): 3.625 3.761 7.240 90.00 90.00 90.00
Element x y z (fractional)
Li: 0.000 0.000 0.000
Mg: 0.000 0.000 0.500
Pb: 0.500 0.500 0.242
Pb: 0.500 0.500 0.758

21.
DFT (PBE) results for Nd3SI3 after structural relaxation.

## Properties
Calculated density   5.388 g cm⁻³
Calculated volume   521 Å³ per cell
Formation energy from raw total energies   -1.442 eV per atom
VASP energy   -4.7398 eV/atom
Density of states at the Fermi level   4.909 states/eV per cell

Lattice parameters (Å, degrees): 12.158 12.158 12.158 34.75 34.75 34.75
Element x y z (fractional)
Nd: 0.044 0.386 0.702
Nd: 0.298 0.956 0.614
Nd: 0.386 0.702 0.044
Nd: 0.614 0.298 0.956
Nd: 0.702 0.044 0.386
Nd: 0.956 0.614 0.298
S: 0.333 0.333 0.333
S: 0.667 0.667 0.667
I: 0.106 0.775 0.437
I: 0.225 0.563 0.894
I: 0.437 0.106 0.775
I: 0.563 0.894 0.225
I: 0.775 0.437 0.106
I: 0.894 0.225 0.563

22.
DFT (PBE) results for Ba2GeBr6 after structural relaxation.

## Properties
Calculated density   4.303 g cm⁻³
Calculated volume   638 Å³ per cell
Formation energy from raw total energies   -1.651 eV per atom
VASP energy   -3.7066 eV/atom
Density of states at the Fermi level   0.000 states/eV per cell
Energy above the most stable polymorph in this dataset   0.000 eV/atom

Lattice parameters (Å, degrees): 7.265 8.527 12.455 90.00 124.20 90.00
Element x y z (fractional)
Ba: 0.219 0.110 0.255
Ba: 0.219 0.390 0.755
Ba: 0.781 0.610 0.245
Ba: 0.781 0.890 0.745
Ge: 0.500 0.000 0.000
Ge: 0.500 0.500 0.500
Br: 0.119 0.166 0.944
Br: 0.119 0.334 0.444
Br: 0.289 0.700 0.945
Br: 0.289 0.800 0.445
Br: 0.352 0.029 0.739
Br: 0.352 0.471 0.239
Br: 0.648 0.529 0.761
Br: 0.648 0.971 0.261
Br: 0.711 0.200 0.555
Br: 0.711 0.300 0.055
Br: 0.881 0.666 0.556
Br: 0.881 0.834 0.056

23.
DFT (PBE) results for ZrTiNb3 after structural relaxation.

## Properties
Calculated density   7.404 g cm⁻³
Calculated volume   187 Å³ per cell
VASP energy   -9.2622 eV/atom
Density of states at the Fermi level   18.465 states/eV per cell
Energy above the most stable polymorph in this dataset   0.000 eV/atom

Lattice parameters (Å, degrees): 4.759 4.788 8.558 90.00 105.99 90.00
Element x y z (fractional)
Zr: 0.055 0.250 0.108
Zr: 0.945 0.750 0.892
Ti: 0.251 0.250 0.501
Ti: 0.749 0.750 0.499
Nb: 0.156 0.750 0.311
Nb: 0.345 0.750 0.693
Nb: 0.444 0.250 0.888
Nb: 0.556 0.750 0.112
Nb: 0.655 0.250 0.307
Nb: 0.844 0.250 0.689

24.
DFT (PBE) results for As2PdPt2 after structural relaxation.

## Properties
Calculated density   11.816 g cm⁻³
Calculated volume   91 Å³ per cell
VASP energy   -5.3103 eV/atom
Density of states at the Fermi level   2.738 states/eV per cell

Lattice parameters (Å, degrees): 6.679 6.679 6.679 146.41 146.41 48.24
Element x y z (fractional)
As: 0.109 0.109 0.000
As: 0.891 0.891 0.000
Pd: 0.500 0.500 0.000
Pt: 0.250 0.750 0.500
Pt: 0.750 0.250 0.500